1.
The following is a PBE-GGA calculation of Pa2FeCN5 after structural relaxation, from Alexandria via LeMat-Bulk.

Cell lengths 4.943, 6.626, 6.626 Å; angles 90.00, 90.00, 90.00 degrees
Last column: magnetic moment on the atom in μB.
Atoms (fractional coordinates):
Pa 0.500 0.685 0.185  -0.02
Pa 0.500 0.185 0.315  -0.02
Pa 0.500 0.815 0.685  -0.02
Pa 0.500 0.315 0.815  -0.02
Fe 0.000 0.500 0.500  3.14
Fe 0.000 0.000 0.000  3.14
C 0.000 0.000 0.500  -0.01
C 0.000 0.500 0.000  -0.01
N 0.500 0.500 0.500  0.01
N 0.500 0.000 0.000  0.01
N 0.224 0.120 0.620  0.05
N 0.224 0.880 0.380  0.05
N 0.224 0.380 0.120  0.05
N 0.224 0.620 0.880  0.05
N 0.776 0.120 0.620  0.05
N 0.776 0.620 0.880  0.05
N 0.776 0.880 0.380  0.05
N 0.776 0.380 0.120  0.05

Computed properties:
Energy relative to the elements, uncorrected, eV per formula unit: 0.221
Symmetry: P4/mbm (127)
Energy, eV per atom: -8.676

2.
The following is a PBE-GGA calculation of Pa4FeCN2 after structural relaxation, from Alexandria via LeMat-Bulk.

Cell lengths 3.574, 6.156, 6.234 Å; angles 74.46, 90.00, 90.00 degrees
Atoms (fractional coordinates):
Pa 0.000 0.772 0.733
Pa 0.000 0.228 0.267
Pa 0.500 0.746 0.251
Pa 0.500 0.254 0.749
Fe 0.500 0.500 0.000
C 0.000 0.500 0.500
N 0.000 0.000 0.000
N 0.500 0.000 0.500

Computed properties:
Energy relative to the elements, uncorrected, eV per formula unit: -6.485
Symmetry: P2/m (10)
Energy, eV per atom: -9.851

3.
The following is a PBE-GGA calculation of FePb2C6N6 after structural relaxation, from Alexandria via LeMat-Bulk.

Cell lengths 7.078, 7.078, 6.040 Å; angles 90.00, 90.00, 120.00 degrees
Atoms (fractional coordinates):
Fe 0.000 0.000 0.000
Pb 0.667 0.333 0.459
Pb 0.333 0.667 0.541
C 0.232 0.196 0.821
C 0.804 0.036 0.821
C 0.964 0.768 0.821
C 0.036 0.232 0.179
C 0.768 0.804 0.179
C 0.196 0.964 0.179
N 0.677 0.054 0.708
N 0.377 0.323 0.708
N 0.946 0.623 0.708
N 0.323 0.946 0.292
N 0.054 0.377 0.292
N 0.623 0.677 0.292

Computed properties:
Energy relative to the elements, uncorrected, eV per formula unit: 2.920
Symmetry: P-3 (147)
Energy, eV per atom: -7.884

4.
The following is a PBE-GGA calculation of Pm3FeC2N6 after structural relaxation, from Alexandria via LeMat-Bulk.

Cell lengths 5.326, 5.326, 6.269 Å; angles 90.00, 90.00, 120.00 degrees
Last column: magnetic moment on the atom in μB.
Atoms (fractional coordinates):
Pm 0.333 0.667 0.662  -0.02
Pm 0.667 0.333 0.338  -0.02
Pm 0.000 0.000 0.000  -0.06
Fe 0.000 0.000 0.500  3.02
C 0.667 0.333 0.733  0.01
C 0.333 0.667 0.267  0.01
N 0.630 0.815 0.278  0.04
N 0.185 0.370 0.278  0.04
N 0.185 0.815 0.278  0.04
N 0.815 0.630 0.722  0.04
N 0.370 0.185 0.722  0.04
N 0.815 0.185 0.722  0.04

Computed properties:
Energy relative to the elements, uncorrected, eV per formula unit: -6.713
Symmetry: P-3m1 (164)
Energy, eV per atom: -8.152

Let's list magnetization in order: 6.756; 0.000; 0.000; 3.203 μB/cell.